The following is a PBE calculation of crystalline NdZn3Cd3 at its relaxed geometry, from the Alexandria database.

Unit cell a=6.9677 b=4.5717 c=9.6026 alpha=90.00 beta=108.29 gamma=90.00
Sites, in units of the cell vectors:
Nd 0.1266 0.2500 0.2821
Nd 0.8734 0.7500 0.7179
Zn 0.1240 0.2500 0.6317
Zn 0.2354 0.7500 0.5430
Zn 0.2681 0.7500 0.0921
Zn 0.7319 0.2500 0.9079
Zn 0.7646 0.2500 0.4570
Zn 0.8760 0.7500 0.3683
Cd 0.1648 0.2500 0.9285
Cd 0.4228 0.7500 0.8424
Cd 0.4958 0.7500 0.3835
Cd 0.5042 0.2500 0.6165
Cd 0.5772 0.2500 0.1576
Cd 0.8352 0.7500 0.0715

Summary:
Formation energy from the elements in meV/atom: -224



The following is a PBE calculation of crystalline Nd2Zn3Cd6 at its relaxed geometry, from the Alexandria database.

Unit cell a=8.1264 b=8.1264 c=4.4658 alpha=90.00 beta=90.00 gamma=120.00
Sites, in units of the cell vectors:
Nd 0.3333 0.6667 0.0000
Nd 0.6667 0.3333 0.0000
Zn 0.0000 0.3894 0.5000
Zn 0.3894 0.0000 0.5000
Zn 0.6106 0.6106 0.5000
Cd 0.0000 0.2071 0.0000
Cd 0.0000 0.7099 0.5000
Cd 0.2071 0.0000 0.0000
Cd 0.2901 0.2901 0.5000
Cd 0.7099 0.0000 0.5000
Cd 0.7929 0.7929 0.0000

Summary:
Formation energy from the elements in meV/atom: -204



The following is a PBE calculation of crystalline NdZrZnCd at its relaxed geometry, from the Alexandria database.

Unit cell a=5.1021 b=5.1021 c=5.1021 alpha=60.00 beta=60.00 gamma=60.00
Sites, in units of the cell vectors:
Nd 0.0000 0.0000 0.0000
Zr 0.5000 0.5000 0.5000
Zn 0.2500 0.2500 0.2500
Cd 0.7500 0.7500 0.7500

Summary:
Formation energy from the elements in meV/atom: -116



The following is a PBE calculation of crystalline NdZrCd6 at its relaxed geometry, from the Alexandria database.

Unit cell a=4.6416 b=4.6416 c=8.7848 alpha=90.00 beta=90.00 gamma=90.00
Sites, in units of the cell vectors:
Nd 0.0000 0.0000 0.0000
Zr 0.0000 0.0000 0.5000
Cd 0.0000 0.5000 0.2662
Cd 0.0000 0.5000 0.7338
Cd 0.5000 0.0000 0.2662
Cd 0.5000 0.0000 0.7338
Cd 0.5000 0.5000 0.0000
Cd 0.5000 0.5000 0.5000

Summary:
Formation energy from the elements in meV/atom: -163



The following is a PBE calculation of crystalline Nd2ZrCd6 at its relaxed geometry, from the Alexandria database.

Unit cell a=8.7266 b=8.7266 c=3.3009 alpha=90.00 beta=90.00 gamma=120.00
Sites, in units of the cell vectors:
Nd 0.3333 0.6667 0.0000
Nd 0.6667 0.3333 0.0000
Zr 0.0000 0.0000 0.0000
Cd 0.0000 0.3254 0.5000
Cd 0.0000 0.6746 0.5000
Cd 0.3254 0.0000 0.5000
Cd 0.3254 0.3254 0.5000
Cd 0.6746 0.0000 0.5000
Cd 0.6746 0.6746 0.5000

Summary:
Formation energy from the elements in meV/atom: -232



The following is a PBE calculation of crystalline CdNi5 at its relaxed geometry, from the Alexandria database.

Unit cell a=4.5680 b=4.5680 c=4.1421 alpha=90.00 beta=90.00 gamma=120.00
Sites, in units of the cell vectors:
Cd 0.0000 0.0000 0.0000
Ni 0.0000 0.6158 0.5000
Ni 0.3333 0.6667 0.0000
Ni 0.3842 0.3842 0.5000
Ni 0.6158 0.0000 0.5000
Ni 0.6667 0.3333 0.0000

Summary:
Formation energy from the elements in meV/atom: 112